Cu3Pt5: optimized geometry, PBEsol.

abc: 4.662 4.662 5.375
angles: 89.93 73.36 80.49
Element x y z (fractional)
1 Pt 0.002 0.001 0.493
2 Pt 0.999 0.502 0.753
3 Pt 0.497 0.751 0.622
4 Pt 0.498 0.244 0.886
5 Pt 0.002 0.501 0.247
6 Cu 0.504 0.248 0.372
7 Cu 0.501 0.752 0.125
8 Cu 0.997 0.000 0.003

Values from the calculation:
D(E_F) ... 0.955 states/eV/atom
Offset from the most stable computed form ... 5 meV per atom
Total magnetic moment ... 0.000 μB/f.u.
Formation energy ... -0.09 eV/atom